No. 1
First-principles (PBE-GGA) data for GeAsRh4 after structural relaxation, as listed in Alexandria.

POSCAR file:
```
GeAsRh4
1.0
-3.499 -1.520 0.653
1.820 -1.610 6.001
-4.562 12.540 4.748
Ge As Rh
4 4 16
direct
0.750 0.747 0.807
0.250 0.253 0.193
0.250 0.753 0.307
0.750 0.247 0.693
0.750 0.242 0.440
0.250 0.758 0.560
0.250 0.258 0.940
0.750 0.742 0.060
0.750 0.882 0.649
0.250 0.118 0.351
0.250 0.618 0.149
0.750 0.382 0.851
0.750 0.850 0.431
0.250 0.150 0.569
0.250 0.650 0.931
0.750 0.350 0.069
0.750 0.991 0.931
0.250 0.009 0.069
0.250 0.509 0.431
0.750 0.491 0.569
0.750 0.934 0.219
0.250 0.066 0.781
0.250 0.566 0.719
0.750 0.434 0.281
```

Results
Space group: No. 62
Uncorrected energy, eV/atom: -6.8147

No. 2
First-principles (PBE-GGA) data for Ge3AsRh after structural relaxation, as listed in Alexandria.

POSCAR file:
```
Ge3AsRh
1.0
-2.120 -4.133 1.368
-0.111 -1.470 -4.613
4.352 -2.051 0.549
As Rh Ge
1 1 3
direct
0.000 0.000 0.000
0.500 0.500 0.500
0.000 0.500 0.000
0.000 0.000 0.500
0.500 0.000 0.000
```

Results
Space group: No. 221
Uncorrected energy, eV/atom: -4.1077
Relative energy among the computed polymorphs, eV per atom: 0.860

Values of DFT formation energy, in order: -0.3693 1.0629, all in eV per atom.